(1)
Density functional theory data (GGA-PBE) for an optimized crystal structure of LiHIF2.

Cell: 4.5289 3.6622 4.5289 Å, 90.00 90.00 90.00°
Closest atoms and distances in Å follow each position.
Positions (direct):
1 F 0.5000 0.0000 0.0000  2 H 2.26
2 F 0.0000 0.0000 0.5000  2 H 2.26
3 H 0.0000 0.0000 0.0000  2 I 1.83
4 I 0.0000 0.5000 0.0000  2 H 1.83
5 Li 0.5000 0.5000 0.5000  8 F 2.91, 4 I 3.20

## Properties
symmetry	P4/mmm (123)
calculated density	3.821	g/cm3
total DFT energy (no corrections)	-2.85	eV/atom
total magnetic moment	0.000	μB/f.u.
DOS(E_F)	4.2	states/eV/f.u.

=====

(2)
Density functional theory data (GGA-PBE) for an optimized crystal structure of NaHI2F.

Cell: 5.4588 4.5401 5.4588 Å, 90.00 90.00 90.00°
Closest atoms and distances in Å follow each position.
Positions (direct):
1 I 0.0000 0.0000 0.5000  2 F 2.73
2 I 0.5000 0.0000 0.0000  2 F 2.73
3 Na 0.0000 0.5000 0.0000  2 F 2.27
4 H 0.5000 0.5000 0.5000  8 I 3.55, 4 Na 3.86
5 F 0.0000 0.0000 0.0000  2 Na 2.27

## Properties
symmetry	P4/mmm (123)
calculated density	3.643	g/cm3
total DFT energy (no corrections)	-2.13	eV/atom
total magnetic moment	1.157	μB/f.u.
DOS(E_F)	3.8	states/eV/f.u.

=====

(3)
Density functional theory data (GGA-PBE) for an optimized crystal structure of NaH2IF8.

Cell: 4.9153 5.0155 7.1401 Å, 96.49 89.77 75.95°
Closest atoms and distances in Å follow each position.
Positions (direct):
1 F 0.2140 0.8041 0.2042  1 I 2.01
2 F 0.7429 0.7527 0.0013  1 I 1.97
3 F 0.2571 0.2473 0.9987  1 I 1.97
4 F 0.7860 0.1959 0.7958  1 I 2.01
5 F 0.7098 0.7045 0.4446  1 H 0.96
6 F 0.2192 0.7488 0.7723  1 H 1.62
7 F 0.2902 0.2955 0.5554  1 H 0.96
8 F 0.7808 0.2512 0.2277  1 H 1.62
9 I 0.0000 0.0000 0.0000  6 F 1.97-2.06
10 H 0.2780 0.4438 0.6559  1 F 0.96
11 H 0.7220 0.5562 0.3441  1 F 0.96
12 Na 0.0000 0.0000 0.5000  6 F 2.30-2.54

## Properties
symmetry	P-1 (2)
calculated density	2.976	g/cm3
total DFT energy (no corrections)	-3.81	eV/atom
total magnetic moment	0.000	μB/f.u.
DOS(E_F)	0.0	states/eV/f.u.

=====

(4)
Density functional theory data (GGA-PBE) for an optimized crystal structure of NdHIF.

Cell: 4.0867 4.1610 6.3013 Å, 70.73 108.92 90.00°
Closest atoms and distances in Å follow each position.
Positions (direct):
1 F 0.5230 0.7642 0.0459  2 Nd 2.27
2 I 0.2731 0.5142 0.5462  4 H 3.41-3.53, 4 F 3.46-3.48, 5 Nd 3.48-3.69
3 Nd 0.6032 0.1840 0.2064  2 H 2.20, 2 F 2.27
4 H 0.0311 0.2561 0.0622  2 Nd 2.20

## Properties
symmetry	Imm2 (44)
calculated density	5.090	g/cm3
total DFT energy (no corrections)	-4.78	eV/atom
total magnetic moment	0.000	μB/f.u.
DOS(E_F)	0.0	states/eV/f.u.

=====

- Among the records above, which one has the highest calculated density?
  NdHIF